Computed, not measured: a relaxed structure of Mg3B2Ir5 at the PBE level of DFT.

CIF file:
```
data_Mg3B2Ir5
_space_group_name_H-M_alt 'P 4/m b m'
_space_group_IT_number 127
_space_group_name_Hall '-P 4 2ab'
_cell_length_a 9.574
_cell_length_b 9.574
_cell_length_c 2.955
_cell_angle_alpha 90.00
_cell_angle_beta 90.00
_cell_angle_gamma 90.00
loop_
_atom_site_label
_atom_site_type_symbol
_atom_site_fract_x
_atom_site_fract_y
_atom_site_fract_z
Mg1 Mg 0.000 0.000 0.000
Mg2 Mg 0.177 0.323 0.000
B1 B 0.126 0.626 0.000
Ir1 Ir 0.000 0.500 0.500
Ir2 Ir 0.071 0.781 0.500
```

For the magnetic moment, the calculation gives 0.00 μB per formula unit. Its formation energy is -423 kJ/mol of formula units. The total energy is -133.7 eV for the cell shown.